Material: Ba2NpGe3Au12
Method: DFT, PBE
State: relaxed

Summary:
The calculation puts the calculated density at 10.3 g cm⁻³. As for the symmetry: R-3m, No. 166. Its energy is -70.8 eV for the cell shown. The spin magnetization is 4.13 μB/f.u.

Cell lengths 8.631, 8.631, 8.631 Å; angles 64.23, 64.23, 64.23 degrees
Site moments in Bohr magnetons follow the coordinates.
Fractional positions:
1 Au 0.133 0.133 0.613  0.00
2 Au 0.855 0.321 0.321  0.00
3 Au 0.133 0.613 0.133  0.00
4 Au 0.387 0.867 0.867  0.00
5 Au 0.321 0.321 0.855  0.00
6 Au 0.679 0.145 0.679  0.00
7 Au 0.867 0.387 0.867  0.00
8 Au 0.867 0.867 0.387  0.00
9 Au 0.321 0.855 0.321  0.00
10 Au 0.679 0.679 0.145  0.00
11 Au 0.613 0.133 0.133  0.00
12 Au 0.145 0.679 0.679  0.00
13 Ba 0.396 0.396 0.396  0.01
14 Ba 0.604 0.604 0.604  0.01
15 Ge 0.000 0.500 0.000  0.00
16 Ge 0.000 0.000 0.500  0.00
17 Ge 0.500 0.000 0.000  0.00
18 Np 0.000 0.000 0.000  3.93


Material: BaGe2OsAu
Method: DFT, PBE
State: relaxed

Summary:
The value obtained for the energy above the most stable polymorph in this dataset is 0 meV/atom. The calculation puts the calculated density at 8.3 g cm⁻³. As for the symmetry: P4/mmm, No. 123. Its energy is -21.4 eV for the cell shown. The spin magnetization is 1.52 μB/f.u.

Cell lengths 5.032, 5.318, 5.032 Å; angles 90.00, 90.00, 90.00 degrees
Site moments in Bohr magnetons follow the coordinates.
Fractional positions:
1 Ge 0.000 0.000 0.500  -0.07
2 Ge 0.500 0.000 0.000  -0.07
3 Ba 0.500 0.500 0.500  -0.05
4 Os 0.000 0.500 0.000  1.72
5 Au 0.000 0.000 0.000  0.02


Material: BaGe2OsAu
Method: DFT, PBE
State: relaxed

Summary:
The value obtained for the energy above the most stable polymorph in this dataset is 295 meV/atom. The calculation puts the calculated density at 7.5 g cm⁻³. As for the symmetry: P4/mmm, No. 123. Its energy is -19.9 eV for the cell shown. The spin magnetization is 2.05 μB/f.u.

Cell lengths 4.920, 6.099, 4.920 Å; angles 90.00, 90.00, 90.00 degrees
Site moments in Bohr magnetons follow the coordinates.
Fractional positions:
1 Os 0.500 0.500 0.500  2.18
2 Au 0.000 0.000 0.000  -0.02
3 Ge 0.500 0.000 0.000  -0.07
4 Ge 0.000 0.000 0.500  -0.06
5 Ba 0.000 0.500 0.000  -0.04


Material: BaGePbAu2
Method: DFT, PBE
State: relaxed

Summary:
The calculation puts the calculated density at 7.2 g cm⁻³. As for the symmetry: P4/mmm, No. 123. Its energy is -14.5 eV for the cell shown. The spin magnetization is 1.84 μB/f.u.

Cell lengths 5.305, 6.671, 5.305 Å; angles 90.00, 90.00, 90.00 degrees
Site moments in Bohr magnetons follow the coordinates.
Fractional positions:
1 Ge 0.500 0.500 0.500  0.55
2 Ba 0.000 0.500 0.000  0.11
3 Pb 0.000 0.000 0.000  0.03
4 Au 0.500 0.000 0.000  0.03
5 Au 0.000 0.000 0.500  0.02